1.
LiCoSiO4: single point on PBEsol structure, meta-GGA SCAN.

- final energy (eV per atom) = -9.9664
- energy above the most stable polymorph in this dataset (kJ/mol of atoms) = 14.8
- energy relative to the elements, uncorrected (eV per atom) = -2.16

Unit cell a=4.436 b=4.436 c=5.247 alpha=115.00 beta=115.00 gamma=90.00
Fractional positions:
Li 0.500 0.500 0.000
O 0.297 0.353 0.217
O 0.647 0.081 0.783
O 0.136 0.703 0.783
Co 0.250 0.750 0.500
O 0.919 0.864 0.217
Si 0.000 0.000 0.000

=====

2.
Li2CoSi3O8: single point on PBEsol structure, meta-GGA SCAN.

- final energy (eV per atom) = -9.8717
- energy relative to the elements, uncorrected (eV per atom) = -2.59

Unit cell a=6.429 b=6.542 c=8.414 alpha=90.00 beta=90.00 gamma=106.01
Fractional positions:
Li 0.357 0.746 0.691
Co 0.466 0.104 0.498
O 0.548 0.841 0.500
O 0.699 0.963 0.198
O 0.881 0.728 0.361
Si 0.251 0.398 0.308
Li 0.975 0.011 0.724
Si 0.749 0.602 0.808
O 0.485 0.557 0.258
O 0.515 0.443 0.758
Li 0.643 0.254 0.191
O 0.119 0.272 0.861
O 0.263 0.160 0.344
O 0.918 0.621 0.659
O 0.301 0.037 0.698
Si 0.093 0.469 0.977
O 0.276 0.682 0.937
O 0.153 0.507 0.455
O 0.724 0.318 0.437
Co 0.534 0.896 0.998
Si 0.642 0.780 0.334
O 0.082 0.379 0.159
Li 0.025 0.989 0.224
Si 0.907 0.531 0.477
Si 0.358 0.220 0.834
O 0.737 0.840 0.844
O 0.847 0.493 0.955
O 0.452 0.159 0.000